# 1
Material: SiAsHC
Method: DFT, PBE
State: optimized geometry

Cell lengths 4.817, 4.817, 3.379 Å; angles 104.38, 104.38, 39.57 degrees
Fractional coordinates of all 4 atoms:
Si: 0.000 0.000 0.000
As: 0.743 0.743 0.533
H: 0.468 0.468 0.987
C: 0.111 0.111 0.583

Properties
For the energy above the lowest structure with this stoichiometry, the calculation gives 0.539 eV/atom. The calculation puts the density of states at the Fermi level at 0.45 states/eV/f.u. As for the symmetry: Cm.

---

# 2
Material: SiAsHC
Method: DFT, PBE
State: optimized geometry

Cell lengths 3.031, 4.607, 5.845 Å; angles 97.14, 90.26, 108.67 degrees
Fractional coordinates of all 4 atoms:
Si: 0.000 0.000 0.000
As: 0.735 0.489 0.725
H: 0.947 0.884 0.229
C: 0.593 0.192 0.930

Properties
For the energy above the lowest structure with this stoichiometry, the calculation gives 0.449 eV/atom. The calculation puts the density of states at the Fermi level at 0.79 states/eV/f.u. As for the symmetry: P1.

---

# 3
Material: SiAsHC
Method: DFT, PBE
State: optimized geometry

Cell lengths 3.062, 3.893, 4.934 Å; angles 101.49, 107.73, 90.46 degrees
Fractional coordinates of all 4 atoms:
Si: 0.000 0.000 0.000
As: 0.838 0.390 0.664
H: 0.654 0.780 0.322
C: 0.607 0.010 0.218

Properties
For the energy above the lowest structure with this stoichiometry, the calculation gives 0.326 eV/atom. The calculation puts the density of states at the Fermi level at 1.01 states/eV/f.u. As for the symmetry: P1.

---

# 4
Material: SiAsHC
Method: DFT, PBE
State: optimized geometry

Cell lengths 3.444, 3.747, 5.303 Å; angles 97.92, 102.41, 100.60 degrees
Fractional coordinates of all 4 atoms:
Si: 0.000 0.000 0.000
As: 0.143 0.484 0.763
H: 0.549 0.724 0.276
C: 0.510 0.866 0.107

Properties
For the energy above the lowest structure with this stoichiometry, the calculation gives 0.389 eV/atom. As for the symmetry: P1.